No. 1
Compound: Cs2MgH3
Source: Alexandria via LeMat-Bulk
Functional: GGA-PBE
Structure: optimized geometry

a = 6.9179 Å, b = 6.9179 Å, c = 7.4715 Å
α = 105.39°, β = 105.39°, γ = 54.65°
With the nearest neighbours (Å) after each atom.
Fractional coordinates of all 12 atoms:
Cs 0.1640 0.1650 0.0833  6 H 2.94-3.24
Cs 0.1650 0.1640 0.5833  6 H 2.94-3.24
Cs 0.8350 0.8360 0.4167  6 H 2.94-3.24
Cs 0.8360 0.8350 0.9167  6 H 2.94-3.24
Mg 0.4911 0.5089 0.2500  1 H 1.89
Mg 0.5089 0.4911 0.7500  1 H 1.89
H 0.1929 0.8071 0.2500  1 Mg 1.89
H 0.3861 0.3886 0.9408  2 Mg 2.27-2.31
H 0.3886 0.3861 0.4408  2 Mg 2.27-2.31
H 0.6114 0.6139 0.5592  2 Mg 2.27-2.31
H 0.6139 0.6114 0.0592  2 Mg 2.27-2.31
H 0.8071 0.1929 0.7500  1 Mg 1.89

Properties
The calculation puts the density of states at the Fermi level at 1.2 states/eV/f.u. For the total energy, the calculation gives -2.25 eV/atom. The calculation puts the volume at 139.2 Å³/f.u.

No. 2
Compound: Mn5Se
Source: Alexandria via LeMat-Bulk
Functional: GGA-PBE
Structure: optimized geometry

a = 4.4080 Å, b = 4.4080 Å, c = 4.1769 Å
α = 90.00°, β = 90.00°, γ = 120.00°
With the nearest neighbours (Å) after each atom.
Fractional coordinates of all 6 atoms:
Mn 0.0000 0.6596 0.0000  10 Mn 2.52-2.60, 2 Se 2.57
Mn 0.3333 0.6667 0.5000  9 Mn 2.54, 3 Se 2.54
Mn 0.3404 0.3404 0.0000  10 Mn 2.52-2.60, 2 Se 2.57
Mn 0.6596 0.0000 0.0000  10 Mn 2.52-2.60, 2 Se 2.57
Mn 0.6667 0.3333 0.5000  9 Mn 2.54, 3 Se 2.54
Se 0.0000 0.0000 0.5000  12 Mn 2.54-2.57

Properties
The calculation puts the density of states at the Fermi level at 6.7 states/eV/f.u. For the total energy, the calculation gives -8.04 eV/atom. The calculation puts the volume at 70.3 Å³/f.u. The uncorrected formation energy is 0.183 eV/atom.

No. 3
Compound: YFe2P
Source: Alexandria via LeMat-Bulk
Functional: GGA-PBE
Structure: optimized geometry

a = 3.1137 Å, b = 3.1137 Å, c = 6.4171 Å
α = 90.00°, β = 90.00°, γ = 90.00°
With the nearest neighbours (Å) after each atom.
Fractional coordinates of all 4 atoms:
Y 0.0000 0.0000 0.0000  6 Fe 2.97-3.30, 4 P 3.04, 4 Y 3.11
Fe 0.0000 0.0000 0.5138  4 P 2.43, 4 Fe 2.56
Fe 0.5000 0.5000 0.3104  1 P 2.32, 4 Fe 2.56
P 0.5000 0.5000 0.6725  5 Fe 2.32-2.43

Properties
The calculation puts the density of states at the Fermi level at 3.6 states/eV/f.u. For the total energy, the calculation gives -7.41 eV/atom. The calculation puts the volume at 62.2 Å³/f.u.

Question: density of states at the Fermi level of number 1 (Cs2MgH3)?
Answer: 1.2 states/eV/f.u.

Question: Among the records above, which one has the lowest density of states at the Fermi level?
Answer: Cs2MgH3